# GGA-PBE RbNa2In, optimized geometry
data_RbNa2In
_chemical_formula_sum 'Rb3 Na6 In3'
_cell_length_a 4.0173
_cell_length_b 4.0173
_cell_length_c 37.8896
_cell_angle_alpha 90.00
_cell_angle_beta 90.00
_cell_angle_gamma 120.00
_space_group_name_H-M_alt 'R -3 m'
_space_group_IT_number 166
_space_group_name_Hall '-R 3 2"'
loop_
_atom_site_label
_atom_site_fract_x
_atom_site_fract_y
_atom_site_fract_z
_atom_site_occupancy
Rb1 0.0000 0.0000 0.0000 1
Na1 0.0000 0.0000 0.1040 1
In1 0.0000 0.0000 0.5000 1
# total magnetic moment	0.00	μB per cell
# crystal system	trigonal

***

# GGA-PBE Rb2SiH4N2, optimized geometry
data_Rb2SiH4N2
_chemical_formula_sum 'Rb2 Si1 H4 N2'
_cell_length_a 4.750
_cell_length_b 6.300
_cell_length_c 6.341
_cell_angle_alpha 119.21
_cell_angle_beta 100.08
_cell_angle_gamma 93.02
_space_group_name_H-M_alt 'P -1'
_space_group_IT_number 2
_space_group_name_Hall '-P 1'
loop_
_atom_site_label
_atom_site_fract_x
_atom_site_fract_y
_atom_site_fract_z
_atom_site_occupancy
Rb1 0.210 0.371 0.228 1
Si1 0.000 0.000 0.500 1
H1 0.180 0.914 0.679 1
H2 0.382 0.274 0.782 1
N1 0.219 0.284 0.656 1
# total magnetic moment	0.00	μB per cell
# crystal system	triclinic

***

# GGA-PBE TcPdSF2, optimized geometry
data_TcPdSF2
_chemical_formula_sum 'Tc1 Pd1 S1 F2'
_cell_length_a 3.892
_cell_length_b 3.892
_cell_length_c 5.808
_cell_angle_alpha 90.00
_cell_angle_beta 90.00
_cell_angle_gamma 90.00
_space_group_name_H-M_alt 'P 4/m m m'
_space_group_IT_number 123
_space_group_name_Hall '-P 4 2'
loop_
_atom_site_label
_atom_site_fract_x
_atom_site_fract_y
_atom_site_fract_z
_atom_site_occupancy
Tc1 0.000 0.000 0.000 1
Pd1 0.000 0.000 0.500 1
S1 0.500 0.500 0.000 1
F1 0.000 0.500 0.500 1
# total magnetic moment	4.16	μB per cell
# crystal system	tetragonal
# uncorrected formation energy	-0.18	eV per atom

***

# GGA-PBE KVCd, optimized geometry
data_KVCd
_chemical_formula_sum 'K1 V1 Cd1'
_cell_length_a 5.4879
_cell_length_b 5.4879
_cell_length_c 3.1555
_cell_angle_alpha 90.00
_cell_angle_beta 90.00
_cell_angle_gamma 120.00
_space_group_name_H-M_alt 'P -6 m 2'
_space_group_IT_number 187
_space_group_name_Hall 'P -6 2'
loop_
_atom_site_label
_atom_site_fract_x
_atom_site_fract_y
_atom_site_fract_z
_atom_site_occupancy
K1 0.0000 0.0000 0.0000 1
V1 0.6667 0.3333 0.5000 1
Cd1 0.3333 0.6667 0.5000 1
# energy above the lowest structure with this stoichiometry	0.540	eV/atom
# total magnetic moment	4.00	μB per cell
# crystal system	hexagonal

***

# GGA-PBE Sm2Y2Cd, optimized geometry
data_Sm2Y2Cd
_chemical_formula_sum 'Sm8 Y8 Cd4'
_cell_length_a 5.180
_cell_length_b 5.180
_cell_length_c 24.626
_cell_angle_alpha 90.00
_cell_angle_beta 90.00
_cell_angle_gamma 90.00
_space_group_name_H-M_alt 'I 41/a m d'
_space_group_IT_number 141
loop_
_space_group_symop_operation_xyz
'x,y,z'
'-x,-y,-z'
'-y+1/4,x+3/4,z+1/4'
'y+1/4,-x+3/4,-z+1/4'
'-x+1/2,-y,z+1/2'
'x+1/2,y,-z+1/2'
'y+1/4,-x+1/4,z+3/4'
'-y+1/4,x+1/4,-z+3/4'
'x,-y,-z'
'-x,y,z'
'-y+1/4,-x+1/4,-z+3/4'
'y+1/4,x+1/4,z+3/4'
'-x+1/2,y,-z+1/2'
'x+1/2,-y,z+1/2'
'y+1/4,x+3/4,-z+1/4'
'-y+1/4,-x+3/4,z+1/4'
'x+1/2,y+1/2,z+1/2'
'-x+1/2,-y+1/2,-z+1/2'
'-y+3/4,x+1/4,z+3/4'
'y+3/4,-x+1/4,-z+3/4'
'-x,-y+1/2,z'
'x,y+1/2,-z'
'y+3/4,-x+3/4,z+1/4'
'-y+3/4,x+3/4,-z+1/4'
'x+1/2,-y+1/2,-z+1/2'
'-x+1/2,y+1/2,z+1/2'
'-y+3/4,-x+3/4,-z+1/4'
'y+3/4,x+3/4,z+1/4'
'-x,y+1/2,-z'
'x,-y+1/2,z'
'y+3/4,x+1/4,-z+3/4'
'-y+3/4,-x+1/4,z+3/4'
loop_
_atom_site_label
_atom_site_fract_x
_atom_site_fract_y
_atom_site_fract_z
_atom_site_occupancy
Sm1 0.000 0.250 0.047 1
Y1 0.000 0.250 0.196 1
Cd1 0.000 0.250 0.875 1
# energy above the lowest structure with this stoichiometry	0.163	eV/atom
# total magnetic moment	0.00	μB per cell
# crystal system	tetragonal

***

# GGA-PBE LiLaSbH2, optimized geometry
data_LiLaSbH2
_chemical_formula_sum 'Li1 La1 Sb1 H2'
_cell_length_a 4.211
_cell_length_b 4.211
_cell_length_c 6.363
_cell_angle_alpha 90.00
_cell_angle_beta 90.00
_cell_angle_gamma 90.00
_space_group_name_H-M_alt 'P 4/m m m'
_space_group_IT_number 123
_space_group_name_Hall '-P 4 2'
loop_
_atom_site_label
_atom_site_fract_x
_atom_site_fract_y
_atom_site_fract_z
_atom_site_occupancy
Li1 0.000 0.000 0.000 1
La1 0.000 0.000 0.500 1
Sb1 0.500 0.500 0.000 1
H1 0.000 0.500 0.500 1
# total magnetic moment	0.00	μB per cell
# crystal system	tetragonal

***

# GGA-PBE Cs2AlSF6, optimized geometry
data_Cs2AlSF6
_chemical_formula_sum 'Cs4 Al2 S2 F12'
_cell_length_a 7.036
_cell_length_b 7.036
_cell_length_c 7.819
_cell_angle_alpha 90.00
_cell_angle_beta 90.00
_cell_angle_gamma 90.00
_space_group_name_H-M_alt 'I 4/m m m'
_space_group_IT_number 139
_space_group_name_Hall '-I 4 2'
loop_
_atom_site_label
_atom_site_fract_x
_atom_site_fract_y
_atom_site_fract_z
_atom_site_occupancy
Cs1 0.000 0.500 0.250 1
Al1 0.000 0.000 0.000 1
S1 0.000 0.000 0.500 1
F1 0.000 0.000 0.257 1
F2 0.179 0.179 0.000 1
# total magnetic moment	2.00	μB per cell
# crystal system	tetragonal
# uncorrected formation energy	-2.55	eV per atom

***

# GGA-PBE Al2TcOs, optimized geometry
data_Al2TcOs
_chemical_formula_sum 'Al4 Tc2 Os2'
_cell_length_a 3.826
_cell_length_b 3.826
_cell_length_c 7.864
_cell_angle_alpha 90.00
_cell_angle_beta 90.00
_cell_angle_gamma 90.00
_space_group_name_H-M_alt 'I -4 m 2'
_space_group_IT_number 119
_space_group_name_Hall 'I -4 -2'
loop_
_atom_site_label
_atom_site_fract_x
_atom_site_fract_y
_atom_site_fract_z
_atom_site_occupancy
Al1 0.000 0.000 0.000 1
Al2 0.000 0.500 0.250 1
Tc1 0.000 0.000 0.500 1
Os1 0.000 0.500 0.750 1
# energy above the lowest structure with this stoichiometry	0.178	eV/atom
# total magnetic moment	0.00	μB per cell
# crystal system	tetragonal

***

Number 1: E_tot -1.45 eV per atom. Number 2: E_tot -4.38 eV per atom. Number 3: E_tot -4.86 eV per atom. Number 4: E_tot -2.85 eV per atom. Number 5: E_tot -4.62 eV per atom. Number 6: E_tot -3.58 eV per atom. Number 7: E_tot -4.63 eV per atom. Number 8: E_tot -7.43 eV per atom.